! PmCo2CuO8 (PBE with a Hubbard U, optimized geometry); values from VASP
&SYSTEM
  ibrav = 0, nat = 12, ntyp = 4
/
ATOMIC_SPECIES
Co 58.93 Co.upf
O 16.00 O.upf
Cu 63.55 Cu.upf
Pm 145.00 Pm.upf
CELL_PARAMETERS angstrom
-5.698 -0.707 -1.201
1.980 -3.375 4.371
0.738 5.579 1.655
ATOMIC_POSITIONS crystal
Co 0.500 0.500 0.000
O 0.931 0.259 0.327
O 0.867 0.676 0.191
O 0.931 0.604 0.673
Co 0.750 0.250 0.500
Cu 0.250 0.750 0.500
O 0.396 0.069 0.327
O 0.486 0.676 0.809
Pm 0.000 0.000 0.000
O 0.324 0.133 0.809
O 0.741 0.069 0.673
O 0.324 0.514 0.191
! electronic total energy: -5.746 eV per atom
! symmetry: I-4m2 (119)